Nb2CoCF: relaxed, PBE with a Hubbard U.

Results
**E**: -0.2255 Ha/atom
**Theoretical density**: 7.12 Mg/m³

```
data_Nb2CoCF
_chemical_formula_sum 'Nb2 Co1 C1 F1'
_space_group_name_H-M_alt 'P 4/m m m'
_space_group_IT_number 123
_space_group_name_Hall '-P 4 2'
_cell_length_a 4.295
_cell_length_b 4.295
_cell_length_c 3.487
_cell_angle_alpha 90.00
_cell_angle_beta 90.00
_cell_angle_gamma 90.00
loop_
_atom_site_label
_atom_site_fract_x
_atom_site_fract_y
_atom_site_fract_z
Nb1 0.000 0.500 0.000
Co1 0.000 0.000 0.500
C1 0.500 0.500 0.500
F1 0.000 0.000 0.000
```